1.
Material: Pm2Be4SiPt3
Method: DFT, PBE
State: relaxed

Cell: 3.957 3.957 10.070 Å, 90.00 90.00 90.00°
Space group P-4m2 (No. 115)
Inequivalent atoms, fractional coordinates:
Pm  0.000  0.500  0.249 (multiplicity 2)
Be  0.000  0.000  0.500 (multiplicity 1)
Be  0.000  0.500  0.867 (multiplicity 2)
Be  0.500  0.500  0.500 (multiplicity 1)
Si  0.500  0.500  0.000 (multiplicity 1)
Pt  0.000  0.000  0.000 (multiplicity 1)
Pt  0.000  0.500  0.621 (multiplicity 2)

Computed properties:
**Raw formation energy**: -737.4 meV/atom
**Fermi-level density of states**: 0.702 states/eV per atom

2.
Material: Pm3Be2SiPt9
Method: DFT, PBE
State: relaxed

Cell: 5.8474 5.8474 9.1718 Å, 90.00 90.00 120.00°
Space group P-3m1 (No. 164)
Inequivalent atoms, fractional coordinates:
Pm  0.0000  0.0000  0.0000 (multiplicity 1)
Pm  0.3333  0.6667  0.6212 (multiplicity 2)
Be  0.3333  0.6667  0.1534 (multiplicity 2)
Si  0.0000  0.0000  0.5000 (multiplicity 1)
Pt  0.0000  0.5000  0.0000 (multiplicity 3)
Pt  0.1631  0.3263  0.3047 (multiplicity 6)

Computed properties:
**Raw formation energy**: -861.0 meV/atom
**Fermi-level density of states**: 0.218 states/eV per atom

3.
Material: Pm2Be3Si4Pt
Method: DFT, PBE
State: relaxed

Cell: 3.999 3.999 9.869 Å, 90.00 90.00 90.00°
Space group P-4m2 (No. 115)
Inequivalent atoms, fractional coordinates:
Pm  0.000  0.500  0.244 (multiplicity 2)
Be  0.000  0.500  0.871 (multiplicity 2)
Be  0.500  0.500  0.500 (multiplicity 1)
Si  0.000  0.000  0.000 (multiplicity 1)
Si  0.000  0.500  0.639 (multiplicity 2)
Si  0.500  0.500  0.000 (multiplicity 1)
Pt  0.000  0.000  0.500 (multiplicity 1)

Computed properties:
**Raw formation energy**: -570.1 meV/atom
**Fermi-level density of states**: 0.323 states/eV per atom

4.
Material: Pm3BeSi2Pt9
Method: DFT, PBE
State: relaxed

Cell: 6.3466 6.3466 8.3353 Å, 90.00 90.00 120.00°
Space group P-3m1 (No. 164)
Inequivalent atoms, fractional coordinates:
Pm  0.0000  0.0000  0.0000 (multiplicity 1)
Pm  0.3333  0.6667  0.6492 (multiplicity 2)
Be  0.0000  0.0000  0.5000 (multiplicity 1)
Si  0.3333  0.6667  0.1918 (multiplicity 2)
Pt  0.0000  0.5000  0.0000 (multiplicity 3)
Pt  0.1440  0.2880  0.3054 (multiplicity 6)

Computed properties:
**Raw formation energy**: -775.4 meV/atom
**Fermi-level density of states**: 0.420 states/eV per atom

5.
Material: Pm2Be3SiPt4
Method: DFT, PBE
State: relaxed

Cell: 4.130 4.130 9.604 Å, 90.00 90.00 90.00°
Space group P-4m2 (No. 115)
Inequivalent atoms, fractional coordinates:
Pm  0.000  0.500  0.250 (multiplicity 2)
Be  0.000  0.000  0.000 (multiplicity 1)
Be  0.000  0.500  0.621 (multiplicity 2)
Si  0.500  0.500  0.000 (multiplicity 1)
Pt  0.000  0.000  0.500 (multiplicity 1)
Pt  0.000  0.500  0.870 (multiplicity 2)
Pt  0.500  0.500  0.500 (multiplicity 1)

Computed properties:
**Raw formation energy**: -944.1 meV/atom
**Fermi-level density of states**: 0.555 states/eV per atom

6.
Material: Pm2BeSnPt6
Method: DFT, PBE
State: relaxed

Cell: 10.063 5.824 7.474 Å, 90.00 116.26 90.00°
Space group C2/m (No. 12)
Inequivalent atoms, fractional coordinates:
Pm  0.224  0.000  0.168 (multiplicity 4)
Be  0.000  0.000  0.500 (multiplicity 2)
Sn  0.000  0.500  0.000 (multiplicity 2)
Pt  0.027  0.260  0.314 (multiplicity 8)
Pt  0.234  0.000  0.693 (multiplicity 4)

Computed properties:
**Fermi-level density of states**: 0.363 states/eV per atom
**Calculated formation energy**: -74 kJ/mol of atoms

7.
Material: PmTiBe2Pt5
Method: DFT, PBE
State: relaxed

Cell: 4.029 4.029 9.777 Å, 90.00 90.00 90.00°
Space group P4/mmm (No. 123)
Inequivalent atoms, fractional coordinates:
Pm  0.000  0.000  0.000 (multiplicity 1)
Ti  0.000  0.000  0.500 (multiplicity 1)
Be  0.500  0.500  0.226 (multiplicity 2)
Pt  0.000  0.500  0.328 (multiplicity 4)
Pt  0.500  0.500  0.000 (multiplicity 1)

Computed properties:
**Fermi-level density of states**: 0.402 states/eV per atom
**Calculated formation energy**: -68 kJ/mol of atoms

8.
Material: Pm2TiBe3Pt4
Method: DFT, PBE
State: relaxed

Cell: 4.046 4.046 10.348 Å, 90.00 90.00 90.00°
Space group P-4m2 (No. 115)
Inequivalent atoms, fractional coordinates:
Pm  0.000  0.500  0.237 (multiplicity 2)
Ti  0.000  0.000  0.500 (multiplicity 1)
Be  0.000  0.500  0.885 (multiplicity 2)
Be  0.500  0.500  0.500 (multiplicity 1)
Pt  0.000  0.000  0.000 (multiplicity 1)
Pt  0.000  0.500  0.648 (multiplicity 2)
Pt  0.500  0.500  0.000 (multiplicity 1)

Computed properties:
**Fermi-level density of states**: 0.803 states/eV per atom
**Calculated formation energy**: -83 kJ/mol of atoms

9.
Material: PmTiBePt2
Method: DFT, PBE
State: relaxed

Cell: 3.943 3.943 11.849 Å, 90.00 90.00 90.00°
Space group I-4m2 (No. 119)
Inequivalent atoms, fractional coordinates:
Pm  0.000  0.000  0.000 (multiplicity 2)
Ti  0.000  0.500  0.750 (multiplicity 2)
Be  0.000  0.500  0.250 (multiplicity 2)
Pt  0.000  0.000  0.382 (multiplicity 4)

Computed properties:
**Fermi-level density of states**: 0.913 states/eV per atom
**Calculated formation energy**: -80 kJ/mol of atoms

10.
Material: Pm2TmBe3Pt4
Method: DFT, PBE
State: relaxed

Cell: 4.075 4.075 10.853 Å, 90.00 90.00 90.00°
Space group P-4m2 (No. 115)
Inequivalent atoms, fractional coordinates:
Pm  0.000  0.500  0.225 (multiplicity 2)
Tm  0.000  0.000  0.500 (multiplicity 1)
Be  0.000  0.500  0.892 (multiplicity 2)
Be  0.500  0.500  0.500 (multiplicity 1)
Pt  0.000  0.000  0.000 (multiplicity 1)
Pt  0.000  0.500  0.668 (multiplicity 2)
Pt  0.500  0.500  0.000 (multiplicity 1)

Computed properties:
**Fermi-level density of states**: 0.543 states/eV per atom
**Calculated formation energy**: -83 kJ/mol of atoms

11.
Material: PmBeZnPt2
Method: DFT, PBE
State: relaxed

Cell: 3.964 3.964 11.468 Å, 90.00 90.00 90.00°
Space group I-4m2 (No. 119)
Inequivalent atoms, fractional coordinates:
Pm  0.000  0.000  0.000 (multiplicity 2)
Be  0.000  0.500  0.250 (multiplicity 2)
Zn  0.000  0.500  0.750 (multiplicity 2)
Pt  0.000  0.000  0.380 (multiplicity 4)

Computed properties:
**Fermi-level density of states**: 0.330 states/eV per atom
**Calculated formation energy**: -71 kJ/mol of atoms

12.
Material: Pm2BeZnPt6
Method: DFT, PBE
State: relaxed

Cell: 5.6738 5.6738 20.2853 Å, 90.00 90.00 120.00°
Space group R-3m (No. 166, hexagonal axes)
Inequivalent atoms, fractional coordinates:
Pm  0.0000  0.0000  0.2103 (multiplicity 6)
Be  0.0000  0.0000  0.0000 (multiplicity 3)
Zn  0.0000  0.0000  0.5000 (multiplicity 3)
Pt  0.0088  0.5044  0.2644 (multiplicity 18)

Computed properties:
**Fermi-level density of states**: 0.348 states/eV per atom
**Calculated formation energy**: -78 kJ/mol of atoms

13.
Material: Pm2Be4ZnPt3
Method: DFT, PBE
State: relaxed

Cell: 4.062 4.062 9.673 Å, 90.00 90.00 90.00°
Space group P-4m2 (No. 115)
Inequivalent atoms, fractional coordinates:
Pm  0.000  0.500  0.248 (multiplicity 2)
Be  0.000  0.000  0.000 (multiplicity 1)
Be  0.000  0.500  0.631 (multiplicity 2)
Be  0.500  0.500  0.000 (multiplicity 1)
Zn  0.000  0.000  0.500 (multiplicity 1)
Pt  0.000  0.500  0.880 (multiplicity 2)
Pt  0.500  0.500  0.500 (multiplicity 1)

Computed properties:
**Fermi-level density of states**: 0.627 states/eV per atom
**Calculated formation energy**: -66 kJ/mol of atoms

14.
Material: Pm2Be3ZnPt4
Method: DFT, PBE
State: relaxed

Cell: 4.066 4.066 10.080 Å, 90.00 90.00 90.00°
Space group P-4m2 (No. 115)
Inequivalent atoms, fractional coordinates:
Pm  0.000  0.500  0.243 (multiplicity 2)
Be  0.000  0.500  0.883 (multiplicity 2)
Be  0.500  0.500  0.500 (multiplicity 1)
Zn  0.000  0.000  0.500 (multiplicity 1)
Pt  0.000  0.000  0.000 (multiplicity 1)
Pt  0.000  0.500  0.648 (multiplicity 2)
Pt  0.500  0.500  0.000 (multiplicity 1)

Computed properties:
**Fermi-level density of states**: 0.453 states/eV per atom
**Calculated formation energy**: -82 kJ/mol of atoms

15.
Material: Rb2PmBe2Se4
Method: DFT, PBE
State: relaxed

Cell: 15.593 3.910 8.443 Å, 90.00 111.28 90.00°
Space group C2/m (No. 12)
Inequivalent atoms, fractional coordinates:
Rb  0.130  0.000  0.043 (multiplicity 4)
Pm  0.000  0.000  0.500 (multiplicity 2)
Be  0.170  0.500  0.475 (multiplicity 4)
Se  0.035  0.500  0.264 (multiplicity 4)
Se  0.207  0.000  0.639 (multiplicity 4)

Computed properties:
**Raw formation energy**: -1066.6 meV/atom
**Fermi-level density of states**: 0.386 states/eV per atom

16.
Material: RbPmBeTe3
Method: DFT, PBE
State: relaxed

Cell: 16.941 5.279 9.652 Å, 90.00 102.95 90.00°
Space group C2/m (No. 12)
Inequivalent atoms, fractional coordinates:
Rb  0.145  0.000  0.056 (multiplicity 4)
Pm  0.147  0.000  0.564 (multiplicity 4)
Be  0.007  0.500  0.289 (multiplicity 4)
Te  0.005  0.000  0.293 (multiplicity 4)
Te  0.143  0.500  0.767 (multiplicity 4)
Te  0.162  0.500  0.351 (multiplicity 4)

Computed properties:
**Raw formation energy**: -776.1 meV/atom

17.
Material: PmBeRe
Method: DFT, PBE
State: relaxed

Cell: 3.422 19.872 3.329 Å, 90.00 90.00 90.00°
Space group Cmcm (No. 63)
Inequivalent atoms, fractional coordinates:
Pm  0.000  0.174  0.250 (multiplicity 4)
Be  0.000  0.038  0.750 (multiplicity 4)
Re  0.000  0.445  0.750 (multiplicity 4)

Computed properties:
**Fermi-level density of states**: 0.930 states/eV per atom
**Calculated formation energy**: 22 kJ/mol of atoms

18.
Material: PmBeRh
Method: DFT, PBE
State: relaxed

Cell: 3.857 3.857 8.043 Å, 90.00 90.00 90.00°
Space group I4mm (No. 107)
Inequivalent atoms, fractional coordinates:
Pm  0.000  0.000  0.000 (multiplicity 2)
Be  0.000  0.000  0.352 (multiplicity 2)
Rh  0.000  0.000  0.628 (multiplicity 2)

Computed properties:
**Fermi-level density of states**: 0.551 states/eV per atom
**Energy above the lowest structure with this stoichiometry**: 0.4896 eV/atom
**Calculated formation energy**: -6 kJ/mol of atoms

19.
Material: Pm3BeRh2
Method: DFT, PBE
State: relaxed

Cell: 11.439 3.972 11.966 Å, 90.00 90.00 90.00°
Space group Pnma (No. 62)
Inequivalent atoms, fractional coordinates:
Pm  0.065  0.250  0.120 (multiplicity 4)
Pm  0.126  0.750  0.552 (multiplicity 4)
Pm  0.201  0.250  0.798 (multiplicity 4)
Be  0.125  0.250  0.365 (multiplicity 4)
Rh  0.034  0.750  0.318 (multiplicity 4)
Rh  0.194  0.750  0.972 (multiplicity 4)

Computed properties:
**Fermi-level density of states**: 0.671 states/eV per atom
**Calculated formation energy**: -54 kJ/mol of atoms

20.
Material: PmBeRh2
Method: DFT, PBE
State: relaxed

Cell: 3.153 3.153 6.497 Å, 90.00 90.00 90.00°
Space group P4/mmm (No. 123)
Inequivalent atoms, fractional coordinates:
Pm  0.000  0.000  0.000 (multiplicity 1)
Be  0.000  0.000  0.500 (multiplicity 1)
Rh  0.500  0.500  0.300 (multiplicity 2)

Computed properties:
**Fermi-level density of states**: 0.460 states/eV per atom
**Energy above the lowest structure with this stoichiometry**: 0.2208 eV/atom
**Calculated formation energy**: -37 kJ/mol of atoms

21.
Material: PmBeRh
Method: DFT, PBE
State: relaxed

Cell: 3.9711 3.9711 8.2117 Å, 90.00 90.00 120.00°
Space group P6_3/mmc (No. 194)
Inequivalent atoms, fractional coordinates:
Pm  0.0000  0.0000  0.0000 (multiplicity 2)
Be  0.3333  0.6667  0.2500 (multiplicity 2)
Rh  0.3333  0.6667  0.7500 (multiplicity 2)

Computed properties:
**Fermi-level density of states**: 0.636 states/eV per atom
**Energy above the lowest structure with this stoichiometry**: 0.0000 eV/atom
**Calculated formation energy**: -53 kJ/mol of atoms

22.
Material: PmBeRh2
Method: DFT, PBE
State: relaxed

Cell: 3.9456 3.9456 15.3913 Å, 90.00 90.00 120.00°
Space group R-3m (No. 166, hexagonal axes)
Inequivalent atoms, fractional coordinates:
Pm  0.0000  0.0000  0.0000 (multiplicity 3)
Be  0.0000  0.0000  0.5000 (multiplicity 3)
Rh  0.0000  0.0000  0.2135 (multiplicity 6)

Computed properties:
**Fermi-level density of states**: 0.661 states/eV per atom
**Energy above the lowest structure with this stoichiometry**: 0.1289 eV/atom
**Calculated formation energy**: -46 kJ/mol of atoms

23.
Material: PmBe3Rh3
Method: DFT, PBE
State: relaxed

Cell: 6.034 6.034 6.034 Å, 90.00 90.00 90.00°
Space group Pm-3n (No. 223)
Inequivalent atoms, fractional coordinates:
Pm  0.000  0.000  0.000 (multiplicity 2)
Be  0.000  0.250  0.500 (multiplicity 6)
Rh  0.000  0.500  0.250 (multiplicity 6)

Computed properties:
**Fermi-level density of states**: 0.473 states/eV per atom
**Calculated formation energy**: -27 kJ/mol of atoms

Number 1: theoretical density 9.9 g cm⁻³, total magnetic moment 0.0 μB per cell. Number 2: theoretical density 13.7 g cm⁻³, total magnetic moment 0.0 μB per cell. Number 3: theoretical density 6.6 g cm⁻³, total magnetic moment 0.0 μB per cell. Number 4: theoretical density 12.9 g cm⁻³, total magnetic moment 0.0 μB per cell. Number 5: theoretical density 11.4 g cm⁻³, total magnetic moment 0.0 μB per cell. Number 6: theoretical density 13.4 g cm⁻³, total magnetic moment 0.0 μB per cell. Number 7: theoretical density 12.4 g cm⁻³, total magnetic moment 0.0 μB per cell. Number 8: theoretical density 11.2 g cm⁻³, total magnetic moment 0.0 μB per cell. Number 9: theoretical density 10.7 g cm⁻³, total magnetic moment 0.0 μB per cell. Number 10: theoretical density 11.7 g cm⁻³, total magnetic moment 0.0 μB per cell. Number 11: theoretical density 11.2 g cm⁻³, total magnetic moment 0.0 μB per cell. Number 12: theoretical density 13.5 g cm⁻³, total magnetic moment 0.0 μB per cell. Number 13: theoretical density 10.2 g cm⁻³, total magnetic moment 0.0 μB per cell. Number 14: theoretical density 11.6 g cm⁻³, total magnetic moment 0.0 μB per cell. Number 15: theoretical density 4.5 g cm⁻³, total magnetic moment 0.0 μB per cell. Number 16: theoretical density 4.9 g cm⁻³, total magnetic moment 0.0 μB per cell. Number 17: theoretical density 10.0 g cm⁻³, total magnetic moment 0.0 μB per cell. Number 18: theoretical density 7.1 g cm⁻³, total magnetic moment 0.0 μB per cell. Number 19: theoretical density 7.9 g cm⁻³, total magnetic moment 0.0 μB per cell. Number 20: theoretical density 9.3 g cm⁻³, total magnetic moment 0.0 μB per cell. Number 21: theoretical density 7.6 g cm⁻³, total magnetic moment 0.0 μB per cell. Number 22: theoretical density 8.6 g cm⁻³, total magnetic moment 0.0 μB per cell. Number 23: theoretical density 7.3 g cm⁻³, total magnetic moment 0.0 μB per cell.